Record 1
SmUTc4 (PBE, optimized geometry); ρ = 11.67 g/cm3; VASP energy = -9.496 eV/atom; formation energy from the elements = 0.083 eV per atom
1.0
5.3952 0.0000 0.0000
2.6976 4.6724 0.0000
2.6976 1.5575 4.4052
Tc U Sm
4 1 1
direct
0.6248 0.6248 0.1255 Tc
0.1255 0.6248 0.6248 Tc
0.6248 0.6248 0.6248 Tc
0.6248 0.1255 0.6248 Tc
0.0000 0.0000 0.0000 U
0.2500 0.2500 0.2500 Sm

***

Record 2
ZrTcNi2Te (PBE, optimized geometry); ρ = 6.79 g/cm3; energy relative to the elements, uncorrected = 1.256 eV/atom; VASP energy = -5.468 eV/atom
1.0
-2.7866 3.4020 1.6062
-0.8160 -2.5696 4.0270
3.6786 2.0452 2.0504
Ni Zr Tc Te
2 1 1 1
direct
0.5000 0.0000 0.0000 Ni
0.0000 0.0000 0.5000 Ni
0.0000 0.0000 0.0000 Zr
0.0000 0.5000 0.0000 Tc
0.5000 0.5000 0.5000 Te